# SrTaP2, optimized geometry, DFT PBE-GGA
# calculated total energy	-6.19	eV per atom
data_SrTaP2
_chemical_formula_sum 'Sr1 Ta1 P2'
_symmetry_space_group_name_H-M 'P 1'
_symmetry_Int_Tables_number 1
_cell_length_a 4.772
_cell_length_b 4.772
_cell_length_c 4.772
_cell_angle_alpha 60.00
_cell_angle_beta 60.00
_cell_angle_gamma 60.00
loop_
_symmetry_equiv_pos_as_xyz
'x,y,z'
loop_
_atom_site_label
_atom_site_fract_x
_atom_site_fract_y
_atom_site_fract_z
P1 0.750 0.750 0.750
P2 0.250 0.250 0.250
Sr1 0.000 0.000 0.000
Ta1 0.500 0.500 0.500


# SrTaP2, optimized geometry, DFT PBE-GGA
# calculated total energy	-6.68	eV per atom
data_SrTaP2
_chemical_formula_sum 'Sr1 Ta1 P2'
_symmetry_space_group_name_H-M 'P 1'
_symmetry_Int_Tables_number 1
_cell_length_a 3.256
_cell_length_b 3.262
_cell_length_c 7.844
_cell_angle_alpha 65.59
_cell_angle_beta 90.00
_cell_angle_gamma 90.00
loop_
_symmetry_equiv_pos_as_xyz
'x,y,z'
loop_
_atom_site_label
_atom_site_fract_x
_atom_site_fract_y
_atom_site_fract_z
Sr1 0.500 0.250 0.250
Ta1 0.500 0.750 0.750
P1 0.000 0.054 0.945
P2 0.000 0.446 0.555


# Sr3TaP, optimized geometry, DFT PBE-GGA
# calculated total energy	-4.03	eV per atom
data_Sr3TaP
_chemical_formula_sum 'Sr3 Ta1 P1'
_symmetry_space_group_name_H-M 'P 1'
_symmetry_Int_Tables_number 1
_cell_length_a 5.815
_cell_length_b 5.815
_cell_length_c 5.815
_cell_angle_alpha 90.00
_cell_angle_beta 90.00
_cell_angle_gamma 90.00
loop_
_symmetry_equiv_pos_as_xyz
'x,y,z'
loop_
_atom_site_label
_atom_site_fract_x
_atom_site_fract_y
_atom_site_fract_z
Sr1 0.500 0.000 0.000
Sr2 0.000 0.000 0.500
Sr3 0.000 0.500 0.000
P1 0.000 0.000 0.000
Ta1 0.500 0.500 0.500


# SrTaP2, optimized geometry, DFT PBE-GGA
# calculated total energy	-6.92	eV per atom
data_SrTaP2
_chemical_formula_sum 'Sr1 Ta1 P2'
_symmetry_space_group_name_H-M 'P 1'
_symmetry_Int_Tables_number 1
_cell_length_a 3.746
_cell_length_b 3.746
_cell_length_c 7.218
_cell_angle_alpha 74.98
_cell_angle_beta 74.98
_cell_angle_gamma 60.01
loop_
_symmetry_equiv_pos_as_xyz
'x,y,z'
loop_
_atom_site_label
_atom_site_fract_x
_atom_site_fract_y
_atom_site_fract_z
P1 0.485 0.485 0.545
P2 0.015 0.015 0.955
Ta1 0.750 0.750 0.750
Sr1 0.250 0.250 0.250


# SrTaP, optimized geometry, DFT PBE-GGA
# calculated total energy	-5.95	eV per atom
data_SrTaP
_chemical_formula_sum 'Sr1 Ta1 P1'
_symmetry_space_group_name_H-M 'P 1'
_symmetry_Int_Tables_number 1
_cell_length_a 4.624
_cell_length_b 4.624
_cell_length_c 4.624
_cell_angle_alpha 60.00
_cell_angle_beta 60.00
_cell_angle_gamma 60.00
loop_
_symmetry_equiv_pos_as_xyz
'x,y,z'
loop_
_atom_site_label
_atom_site_fract_x
_atom_site_fract_y
_atom_site_fract_z
P1 0.250 0.250 0.250
Ta1 0.500 0.500 0.500
Sr1 0.000 0.000 0.000


# SrTaP2, optimized geometry, DFT PBE-GGA
# calculated total energy	-5.92	eV per atom
data_SrTaP2
_chemical_formula_sum 'Sr1 Ta1 P2'
_symmetry_space_group_name_H-M 'P 1'
_symmetry_Int_Tables_number 1
_cell_length_a 5.950
_cell_length_b 5.950
_cell_length_c 5.950
_cell_angle_alpha 141.63
_cell_angle_beta 141.63
_cell_angle_gamma 55.39
loop_
_symmetry_equiv_pos_as_xyz
'x,y,z'
loop_
_atom_site_label
_atom_site_fract_x
_atom_site_fract_y
_atom_site_fract_z
P1 0.250 0.750 0.500
P2 0.000 0.000 0.000
Ta1 0.750 0.250 0.500
Sr1 0.500 0.500 0.000


# SrTaP, optimized geometry, DFT PBE-GGA
# calculated total energy	-6.46	eV per atom
data_SrTaP
_chemical_formula_sum 'Sr1 Ta1 P1'
_symmetry_space_group_name_H-M 'P 1'
_symmetry_Int_Tables_number 1
_cell_length_a 3.627
_cell_length_b 3.627
_cell_length_c 6.329
_cell_angle_alpha 90.00
_cell_angle_beta 90.00
_cell_angle_gamma 120.00
loop_
_symmetry_equiv_pos_as_xyz
'x,y,z'
loop_
_atom_site_label
_atom_site_fract_x
_atom_site_fract_y
_atom_site_fract_z
Sr1 0.667 0.333 0.290
Ta1 0.333 0.667 0.753
P1 0.000 0.000 0.957


# Sr2TaP, optimized geometry, DFT PBE-GGA
# calculated total energy	-4.53	eV per atom
data_Sr2TaP
_chemical_formula_sum 'Sr2 Ta1 P1'
_symmetry_space_group_name_H-M 'P 1'
_symmetry_Int_Tables_number 1
_cell_length_a 6.106
_cell_length_b 6.106
_cell_length_c 6.106
_cell_angle_alpha 136.04
_cell_angle_beta 136.04
_cell_angle_gamma 63.92
loop_
_symmetry_equiv_pos_as_xyz
'x,y,z'
loop_
_atom_site_label
_atom_site_fract_x
_atom_site_fract_y
_atom_site_fract_z
Ta1 0.500 0.500 0.000
Sr1 0.000 0.000 0.000
Sr2 0.250 0.750 0.500
P1 0.750 0.250 0.500


# Sr3TaP, optimized geometry, DFT PBE-GGA
# calculated total energy	-3.32	eV per atom
data_Sr3TaP
_chemical_formula_sum 'Sr3 Ta1 P1'
_symmetry_space_group_name_H-M 'P 1'
_symmetry_Int_Tables_number 1
_cell_length_a 5.717
_cell_length_b 5.717
_cell_length_c 5.717
_cell_angle_alpha 90.00
_cell_angle_beta 90.00
_cell_angle_gamma 90.00
loop_
_symmetry_equiv_pos_as_xyz
'x,y,z'
loop_
_atom_site_label
_atom_site_fract_x
_atom_site_fract_y
_atom_site_fract_z
P1 0.500 0.500 0.500
Sr1 0.500 0.000 0.000
Sr2 0.000 0.000 0.500
Sr3 0.000 0.500 0.000
Ta1 0.000 0.000 0.000


# SrTa4P, optimized geometry, DFT PBE-GGA
# calculated total energy	-8.24	eV per atom
data_SrTa4P
_chemical_formula_sum 'Sr1 Ta4 P1'
_symmetry_space_group_name_H-M 'P 1'
_symmetry_Int_Tables_number 1
_cell_length_a 5.689
_cell_length_b 5.689
_cell_length_c 5.689
_cell_angle_alpha 60.00
_cell_angle_beta 60.00
_cell_angle_gamma 60.00
loop_
_symmetry_equiv_pos_as_xyz
'x,y,z'
loop_
_atom_site_label
_atom_site_fract_x
_atom_site_fract_y
_atom_site_fract_z
Sr1 0.000 0.000 0.000
Ta1 0.371 0.887 0.371
Ta2 0.887 0.371 0.371
Ta3 0.371 0.371 0.371
Ta4 0.371 0.371 0.887
P1 0.750 0.750 0.750


# Sr2TaP, optimized geometry, DFT PBE-GGA
# calculated total energy	-4.81	eV per atom
data_Sr2TaP
_chemical_formula_sum 'Sr2 Ta1 P1'
_symmetry_space_group_name_H-M 'P 1'
_symmetry_Int_Tables_number 1
_cell_length_a 3.298
_cell_length_b 3.298
_cell_length_c 9.579
_cell_angle_alpha 90.00
_cell_angle_beta 90.00
_cell_angle_gamma 90.00
loop_
_symmetry_equiv_pos_as_xyz
'x,y,z'
loop_
_atom_site_label
_atom_site_fract_x
_atom_site_fract_y
_atom_site_fract_z
Ta1 0.500 0.500 0.000
Sr1 0.000 0.000 0.285
Sr2 0.000 0.000 0.715
P1 0.500 0.500 0.500


# SrTaP2, optimized geometry, DFT PBE-GGA
# calculated total energy	-6.73	eV per atom
data_SrTaP2
_chemical_formula_sum 'Sr1 Ta1 P2'
_symmetry_space_group_name_H-M 'P 1'
_symmetry_Int_Tables_number 1
_cell_length_a 7.442
_cell_length_b 7.442
_cell_length_c 7.442
_cell_angle_alpha 153.67
_cell_angle_beta 152.21
_cell_angle_gamma 38.66
loop_
_symmetry_equiv_pos_as_xyz
'x,y,z'
loop_
_atom_site_label
_atom_site_fract_x
_atom_site_fract_y
_atom_site_fract_z
Ta1 0.202 0.702 0.500
Sr1 0.454 0.454 0.000
P1 0.074 0.074 0.000
P2 0.770 0.270 0.500


# SrTaP2W, optimized geometry, DFT PBE-GGA
# calculated total energy	-6.08	eV per atom
data_SrTaP2W
_chemical_formula_sum 'Sr1 Ta1 P2 W1'
_symmetry_space_group_name_H-M 'P 1'
_symmetry_Int_Tables_number 1
_cell_length_a 4.682
_cell_length_b 5.580
_cell_length_c 4.682
_cell_angle_alpha 90.00
_cell_angle_beta 90.00
_cell_angle_gamma 90.00
loop_
_symmetry_equiv_pos_as_xyz
'x,y,z'
loop_
_atom_site_label
_atom_site_fract_x
_atom_site_fract_y
_atom_site_fract_z
W1 0.000 0.000 0.000
P1 0.000 0.000 0.500
P2 0.500 0.000 0.000
Sr1 0.000 0.500 0.000
Ta1 0.500 0.500 0.500


# Sr2TbP, optimized geometry, DFT PBE-GGA
# calculated total energy	-3.58	eV per atom
data_Sr2TbP
_chemical_formula_sum 'Sr2 Tb1 P1'
_symmetry_space_group_name_H-M 'P 1'
_symmetry_Int_Tables_number 1
_cell_length_a 4.129
_cell_length_b 4.129
_cell_length_c 11.369
_cell_angle_alpha 79.54
_cell_angle_beta 79.54
_cell_angle_gamma 60.00
loop_
_symmetry_equiv_pos_as_xyz
'x,y,z'
loop_
_atom_site_label
_atom_site_fract_x
_atom_site_fract_y
_atom_site_fract_z
P1 0.500 0.500 0.500
Sr1 0.117 0.117 0.650
Sr2 0.883 0.883 0.350
Tb1 0.000 0.000 0.000